Computed, not measured: a geometry-optimized Mg2W9O13 structure at the PBE+U level of DFT.

Spin magnetization (μB per atom): 0.83
Final energy (eV/atom): -6.762

abc: 3.2134 5.4964 19.0069
angles: 84.03 89.14 73.27
Last column: nearest neighbours and their distance in Å.
Atoms (fractional coordinates):
Mg (0.2130, 0.0297, 0.2346)  4 O 2.03-2.20
Mg (0.7870, 0.9703, 0.7654)  4 O 2.03-2.20
W (0.0000, 0.5000, 0.5000)  2 O 2.09
W (0.0494, 0.4664, 0.6868)  6 O 2.12-2.27
W (0.1297, 0.2657, 0.8844)  5 O 2.08-2.29
W (0.3011, 0.9823, 0.6020)  5 O 2.16-2.29
W (0.3660, 0.7805, 0.9505)  5 O 2.09-2.32
W (0.6340, 0.2195, 0.0495)  5 O 2.09-2.32
W (0.6989, 0.0177, 0.3980)  5 O 2.16-2.29
W (0.8703, 0.7343, 0.1156)  5 O 2.08-2.29
W (0.9506, 0.5336, 0.3132)  6 O 2.12-2.27
O (0.0000, 0.5000, 0.0000)  4 W 2.31-2.32
O (0.0689, 0.2818, 0.4143)  4 W 2.09-2.22
O (0.1742, 0.1976, 0.7783)  2 Mg 2.03, 2 W 2.09-2.12
O (0.2168, 0.0409, 0.1188)  1 Mg 2.19, 4 W 2.22-2.29
O (0.3094, 0.8112, 0.3400)  1 Mg 2.20, 4 W 2.26-2.29
O (0.4157, 0.7327, 0.7078)  3 W 2.19-2.28, 2 Mg 2.36-2.39
O (0.4939, 0.4825, 0.1248)  3 W 2.08-2.09
O (0.5061, 0.5175, 0.8752)  3 W 2.08-2.09
O (0.5843, 0.2673, 0.2922)  3 W 2.19-2.28, 2 Mg 2.36-2.39
O (0.6906, 0.1888, 0.6600)  1 Mg 2.20, 4 W 2.26-2.29
O (0.7832, 0.9591, 0.8812)  1 Mg 2.19, 4 W 2.22-2.29
O (0.8258, 0.8024, 0.2217)  2 Mg 2.03, 2 W 2.09-2.12
O (0.9311, 0.7182, 0.5857)  4 W 2.09-2.22